# 1
This record from Alexandria describes HfTa4Nb3 after structural relaxation. The functional is PBE.

Lattice parameters (Å, degrees): 4.7065 4.7065 6.7470 90.00 90.00 90.00
Fractional coordinates of all 8 atoms:
1 Hf 0.0000 0.0000 0.0000
2 Ta 0.0000 0.5000 0.2607
3 Ta 0.0000 0.5000 0.7393
4 Ta 0.5000 0.0000 0.2607
5 Ta 0.5000 0.0000 0.7393
6 Nb 0.0000 0.0000 0.5000
7 Nb 0.5000 0.5000 0.0000
8 Nb 0.5000 0.5000 0.5000

- energy relative to the elements (meV per atom) = 33
- E_tot (eV per cell) = -87.31
- total magnetic moment (μB per cell) = 0.0

# 2
This record from Alexandria describes Bi2PO after structural relaxation. The functional is PBE.

Lattice parameters (Å, degrees): 4.8103 4.8103 4.8103 60.00 60.00 60.00
Fractional coordinates of all 4 atoms:
1 Bi 0.2500 0.2500 0.2500
2 Bi 0.7500 0.7500 0.7500
3 P 0.0000 0.0000 0.0000
4 O 0.5000 0.5000 0.5000

- polymorph energy (0 for the lowest one) (eV per formula unit) = 0.95
- E_tot (eV per cell) = -17.85
- total magnetic moment (μB per cell) = 0.0

# 3
This record from Alexandria describes Ce2PaCd after structural relaxation. The functional is PBE.

Lattice parameters (Å, degrees): 5.3028 5.3028 5.3028 60.00 60.00 60.00
Fractional coordinates of all 4 atoms:
1 Ce 0.2500 0.2500 0.2500
2 Ce 0.7500 0.7500 0.7500
3 Pa 0.0000 0.0000 0.0000
4 Cd 0.5000 0.5000 0.5000

- energy relative to the elements (meV per atom) = 205
- polymorph energy (0 for the lowest one) (eV per formula unit) = 1.04
- E_tot (eV per cell) = -21.46
- total magnetic moment (μB per cell) = 3.6

# 4
This record from Alexandria describes BeAl2As after structural relaxation. The functional is PBE.

Lattice parameters (Å, degrees): 5.5635 5.5635 2.9150 104.74 104.74 123.58
Fractional coordinates of all 4 atoms:
1 Be 0.0000 0.0000 0.0000
2 Al 0.0000 0.5000 0.0000
3 Al 0.5000 0.0000 0.0000
4 As 0.5000 0.5000 0.0000

- energy relative to the elements (meV per atom) = 288
- polymorph energy (0 for the lowest one) (eV per formula unit) = 0.85
- E_tot (eV per cell) = -14.71
- total magnetic moment (μB per cell) = 0.0

# 5
This record from Alexandria describes HgPbW2Cl after structural relaxation. The functional is PBE.

Lattice parameters (Å, degrees): 5.3054 5.3054 5.8177 90.00 90.00 90.00
Fractional coordinates of all 5 atoms:
1 Hg 0.0000 0.0000 0.0000
2 Pb 0.0000 0.0000 0.5000
3 W 0.0000 0.5000 0.0000
4 W 0.5000 0.0000 0.0000
5 Cl 0.5000 0.5000 0.5000

- E_tot (eV per cell) = -20.32
- total magnetic moment (μB per cell) = 7.9

# 6
This record from Alexandria describes PrDy6Mg after structural relaxation. The functional is PBE.

Lattice parameters (Å, degrees): 7.0735 7.0735 6.8604 103.63 103.63 121.46
Fractional coordinates of all 8 atoms:
1 Pr 0.0000 0.0000 0.0000
2 Dy 0.2103 0.7606 0.2514
3 Dy 0.2394 0.7897 0.7486
4 Dy 0.4856 0.4856 0.7439
5 Dy 0.5144 0.5144 0.2561
6 Dy 0.7606 0.2103 0.2514
7 Dy 0.7897 0.2394 0.7486
8 Mg 0.0000 0.0000 0.5000

- energy relative to the elements (meV per atom) = 359
- polymorph energy (0 for the lowest one) (eV per formula unit) = 2.63
- E_tot (eV per cell) = -31.11
- total magnetic moment (μB per cell) = 1.8

# 7
This record from Alexandria describes CaSm2Ru after structural relaxation. The functional is PBE.

Lattice parameters (Å, degrees): 9.5540 9.5540 9.5540 24.55 24.55 24.55
Fractional coordinates of all 4 atoms:
1 Ca 0.0000 0.0000 0.0000
2 Sm 0.5524 0.5524 0.5524
3 Sm 0.7782 0.7782 0.7782
4 Ru 0.1651 0.1651 0.1651

- energy relative to the elements (meV per atom) = -74
- polymorph energy (0 for the lowest one) (eV per formula unit) = 0.30
- E_tot (eV per cell) = -21.01
- total magnetic moment (μB per cell) = 0.0

# 8
This record from Alexandria describes Li3Fe after structural relaxation. The functional is PBE.

Lattice parameters (Å, degrees): 3.9348 3.9348 3.9348 90.00 90.00 90.00
Fractional coordinates of all 4 atoms:
1 Li 0.0000 0.0000 0.5000
2 Li 0.0000 0.5000 0.0000
3 Li 0.5000 0.0000 0.0000
4 Fe 0.5000 0.5000 0.5000

- energy relative to the elements (meV per atom) = 419
- E_tot (eV per cell) = -12.53
- total magnetic moment (μB per cell) = 2.4

# 9
This record from Alexandria describes Nd2SiS after structural relaxation. The functional is PBE.

Lattice parameters (Å, degrees): 7.3018 7.3018 7.3018 33.20 33.20 33.20
Fractional coordinates of all 4 atoms:
1 Nd 0.2502 0.2502 0.2502
2 Nd 0.7498 0.7498 0.7498
3 Si 0.5000 0.5000 0.5000
4 S 0.0000 0.0000 0.0000

- polymorph energy (0 for the lowest one) (eV per formula unit) = 0.18
- E_tot (eV per cell) = -24.47
- total magnetic moment (μB per cell) = 0.0

# 10
This record from Alexandria describes TiNb2Zn after structural relaxation. The functional is PBE.

Lattice parameters (Å, degrees): 5.8309 5.8309 5.8309 102.22 102.22 125.22
Fractional coordinates of all 8 atoms:
1 Ti 0.0000 0.0000 0.0000
2 Ti 0.7500 0.2500 0.5000
3 Nb 0.1379 0.6250 0.0129
4 Nb 0.3750 0.3879 0.5129
5 Nb 0.6121 0.1250 0.9871
6 Nb 0.8750 0.8621 0.4871
7 Zn 0.2500 0.7500 0.5000
8 Zn 0.5000 0.5000 0.0000

- energy relative to the elements (meV per atom) = 405
- E_tot (eV per cell) = -55.38
- total magnetic moment (μB per cell) = 0.0

# 11
This record from Alexandria describes AcPrMgPb after structural relaxation. The functional is PBE.

Lattice parameters (Å, degrees): 5.7044 5.7044 5.7044 60.00 60.00 60.00
Fractional coordinates of all 4 atoms:
1 Ac 0.0000 0.0000 0.0000
2 Pr 0.5000 0.5000 0.5000
3 Mg 0.7500 0.7500 0.7500
4 Pb 0.2500 0.2500 0.2500

- energy relative to the elements (meV per atom) = -292
- E_tot (eV per cell) = -15.36
- total magnetic moment (μB per cell) = 0.0

# 12
This record from Alexandria describes SrMnTe2 after structural relaxation. The functional is PBE.

Lattice parameters (Å, degrees): 7.7148 7.7148 7.7148 33.40 33.40 33.40
Fractional coordinates of all 4 atoms:
1 Sr 0.0000 0.0000 0.0000
2 Mn 0.5000 0.5000 0.5000
3 Te 0.2370 0.2370 0.2370
4 Te 0.7630 0.7630 0.7630

- polymorph energy (0 for the lowest one) (eV per formula unit) = 0.00
- E_tot (eV per cell) = -20.45
- total magnetic moment (μB per cell) = 5.0

# 13
This record from Alexandria describes Ho8C3S4F after structural relaxation. The functional is PBE.

Lattice parameters (Å, degrees): 7.5562 7.5562 7.5562 58.66 58.66 58.66
Fractional coordinates of all 16 atoms:
1 Ho 0.2218 0.7490 0.7490
2 Ho 0.2381 0.2381 0.2381
3 Ho 0.2510 0.2510 0.7782
4 Ho 0.2510 0.7782 0.2510
5 Ho 0.7490 0.2218 0.7490
6 Ho 0.7490 0.7490 0.2218
7 Ho 0.7619 0.7619 0.7619
8 Ho 0.7782 0.2510 0.2510
9 C 0.0000 0.0000 0.5000
10 C 0.0000 0.5000 0.0000
11 C 0.5000 0.0000 0.0000
12 S 0.0000 0.0000 0.0000
13 S 0.0000 0.5000 0.5000
14 S 0.5000 0.0000 0.5000
15 S 0.5000 0.5000 0.0000
16 F 0.5000 0.5000 0.5000

- E_tot (eV per cell) = -107.41
- total magnetic moment (μB per cell) = 0.0